Density functional theory data (PBE) for Ga2HgPdC after structural relaxation.

Results
Energy of formation from the pure elements = 1.850 eV per atom
DOS(E_F) = 2.923 states/eV/cell
DFT total energy = -11.524 eV per cell

a = 5.118 Å, b = 5.118 Å, c = 5.189 Å
α = 90.00°, β = 90.00°, γ = 90.00°
Space group P4/mmm (No. 123)
Inequivalent atoms, fractional coordinates:
Ga1 0.000 0.500 0.000 (multiplicity 2)
Hg1 0.000 0.000 0.000 (multiplicity 1)
Pd1 0.000 0.000 0.500 (multiplicity 1)
C1 0.500 0.500 0.500 (multiplicity 1)

=====

Density functional theory data (PBE) for RbGa2HgC after structural relaxation.

Results
Energy of formation from the pure elements = 0.701 eV per atom
DOS(E_F) = 2.051 states/eV/cell
DFT total energy = -13.040 eV per cell

a = 4.513 Å, b = 4.513 Å, c = 6.189 Å
α = 90.00°, β = 90.00°, γ = 90.00°
Space group P4/mmm (No. 123)
Inequivalent atoms, fractional coordinates:
Rb1 0.000 0.000 0.000 (multiplicity 1)
Ga1 0.000 0.500 0.500 (multiplicity 2)
Hg1 0.500 0.500 0.000 (multiplicity 1)
C1 0.000 0.000 0.500 (multiplicity 1)

=====

Density functional theory data (PBE) for Sc4GaHgC after structural relaxation.

Results
Energy of formation from the pure elements = -0.460 eV per atom
DOS(E_F) = 26.243 states/eV/cell
DFT total energy = -164.403 eV per cell

a = 6.381 Å, b = 13.933 Å, c = 6.375 Å
α = 90.00°, β = 90.00°, γ = 90.00°
Space group Cmcm (No. 63)
Inequivalent atoms, fractional coordinates:
Sc1 0.000 0.082 0.250 (multiplicity 4)
Sc2 0.000 0.413 0.250 (multiplicity 4)
Sc3 0.250 0.250 0.000 (multiplicity 8)
Ga1 0.000 0.122 0.750 (multiplicity 4)
Hg1 0.000 0.386 0.750 (multiplicity 4)
C1 0.000 0.249 0.250 (multiplicity 4)